Record 1
This record from the Alexandria database describes crystalline HgPS4 at its relaxed geometry. The functional is GGA-PBE.

```
HgPS4
1.0
6.502 0.546 0.598
3.064 5.761 -0.598
1.100 -1.667 10.113
S P Hg
8 2 2
direct
0.253 0.340 0.582
0.181 0.420 0.940
0.660 0.747 0.082
0.901 0.273 0.234
0.580 0.819 0.440
0.727 0.099 0.734
0.338 0.728 0.752
0.272 0.662 0.252
0.604 0.637 0.249
0.363 0.396 0.749
0.994 0.872 0.492
0.128 0.006 0.992
```

Output
Symmetry: Cc, No. 9
Calculated volume (Å³/cell): 348.2
ΔE to the lowest computed polymorph (kJ/mol of atoms): 0.00



Record 2
This record from the Alexandria database describes crystalline HgP2S6 at its relaxed geometry. The functional is GGA-PBE.

```
HgP2S6
1.0
7.779 0.000 0.000
0.000 5.901 -3.407
0.000 0.000 6.814
S P Hg
6 2 1
direct
0.261 0.335 0.167
0.739 0.167 0.335
0.261 0.833 0.665
0.739 0.167 0.833
0.739 0.665 0.833
0.261 0.833 0.167
0.755 0.333 0.667
0.245 0.667 0.333
0.000 0.000 0.000
```

Output
Symmetry: P-3m1, No. 164
Calculated volume (Å³/cell): 312.8
ΔE to the lowest computed polymorph (kJ/mol of atoms): 20.83